Computed, not measured: a relaxed structure of La3Cd4Cu2 at the GGA-PBE level of DFT.

DFT total energy, eV per atom: -3.224

a b c (Å): 4.8833 6.1526 8.6569
angles (deg): 74.86 73.62 66.62
With the nearest neighbours (Å) after each atom.
Positions (direct):
La (0.3248, 0.7011, 0.6493)  4 Cu 3.23-3.47, 8 Cd 3.33-3.61, 1 La 3.61
La (0.0000, 0.0000, 0.0000)  8 Cd 3.20-3.47, 4 Cu 3.26
La (0.6752, 0.2989, 0.3507)  4 Cu 3.23-3.47, 8 Cd 3.33-3.61, 1 La 3.61
Cd (0.2802, 0.3766, 0.0630)  1 Cu 2.82, 2 Cd 2.92
Cd (0.7198, 0.6234, 0.9370)  1 Cu 2.82, 2 Cd 2.92
Cd (0.0354, 0.2944, 0.6349)  2 Cu 2.79, 1 Cd 2.94
Cd (0.9646, 0.7056, 0.3651)  2 Cu 2.79, 1 Cd 2.94
Cu (0.4068, 0.9220, 0.2643)  3 Cd 2.79-2.82
Cu (0.5932, 0.0780, 0.7357)  3 Cd 2.79-2.82

Computed, not measured: a relaxed structure of LiYMo3 at the GGA-PBE level of DFT.

DFT total energy, eV per atom: -6.964

a b c (Å): 4.4595 4.4595 4.4595
angles (deg): 90.00 90.00 90.00
With the nearest neighbours (Å) after each atom.
Positions (direct):
Y (0.5000, 0.5000, 0.5000)  12 Mo 3.15
Mo (0.0000, 0.5000, 0.0000)  2 Li 2.23
Mo (0.0000, 0.0000, 0.5000)  2 Li 2.23
Mo (0.5000, 0.0000, 0.0000)  2 Li 2.23
Li (0.0000, 0.0000, 0.0000)  6 Mo 2.23

Computed, not measured: a relaxed structure of Na2Cd2SnHg2 at the GGA-PBE level of DFT.

DFT total energy, eV per atom: -1.413

a b c (Å): 4.9858 4.9858 9.2764
angles (deg): 74.41 74.41 60.00
With the nearest neighbours (Å) after each atom.
Positions (direct):
Na (0.1274, 0.1274, 0.6178)  4 Hg 3.08-3.16, 1 Sn 3.37
Na (0.8726, 0.8726, 0.3822)  4 Hg 3.08-3.16, 1 Sn 3.37
Cd (0.6192, 0.6192, 0.1425)  3 Hg 3.06, 3 Sn 3.14
Cd (0.3808, 0.3808, 0.8575)  3 Hg 3.06, 3 Sn 3.14
Sn (0.0000, 0.0000, 0.0000)  6 Cd 3.14, 2 Na 3.37
Hg (0.7531, 0.7531, 0.7406)  3 Cd 3.06, 4 Na 3.08-3.16
Hg (0.2469, 0.2469, 0.2594)  3 Cd 3.06, 4 Na 3.08-3.16

> Look up the DFT total energy of the third one.

-1.413 eV per atom

> Which value of DFT total energy does entry 3 give?

-1.413 eV per atom

> Number 3 is which compound?

Na2Cd2SnHg2

> The highest DFT total energy belongs to which entry?

Na2Cd2SnHg2